Density functional theory data (PBE) for a geometry-optimized LiCeSi2Au5 structure.

**Density of states at the Fermi level**: 11.80 states/eV/f.u.
**SG**: No. 123
**Spin magnetization**: 1.3 μB per cell
**Raw total energy**: -37.47 eV/cell

Cell: 4.529 4.529 9.484 Å, 90.00 90.00 90.00°
Sites, in units of the cell vectors:
1 Li 0.000 0.000 0.000
2 Ce 0.000 0.000 0.500
3 Si 0.500 0.500 0.250
4 Si 0.500 0.500 0.750
5 Au 0.000 0.500 0.160
6 Au 0.500 0.000 0.160
7 Au 0.000 0.500 0.840
8 Au 0.500 0.000 0.840
9 Au 0.500 0.500 0.500

Density functional theory data (PBE) for a geometry-optimized Er3Sb4Pd8 structure.

**Density of states at the Fermi level**: 8.99 states/eV/f.u.
**SG**: No. 225
**Spin magnetization**: 0.0 μB per cell
**Raw total energy**: -168.15 eV/cell

Cell: 9.349 9.349 9.349 Å, 60.00 60.00 60.00°
Sites, in units of the cell vectors:
1 Er 0.725 0.725 0.275
2 Er 0.275 0.725 0.275
3 Er 0.725 0.275 0.275
4 Er 0.275 0.275 0.725
5 Er 0.725 0.275 0.725
6 Er 0.275 0.725 0.725
7 Sb 0.000 0.000 0.500
8 Sb 0.500 0.000 0.500
9 Sb 0.000 0.500 0.500
10 Sb 0.500 0.500 0.000
11 Sb 0.000 0.500 0.000
12 Sb 0.500 0.000 0.000
13 Sb 0.500 0.500 0.500
14 Sb 0.000 0.000 0.000
15 Pd 0.881 0.881 0.356
16 Pd 0.881 0.356 0.881
17 Pd 0.356 0.881 0.881
18 Pd 0.881 0.881 0.881
19 Pd 0.119 0.119 0.644
20 Pd 0.119 0.644 0.119
21 Pd 0.644 0.119 0.119
22 Pd 0.119 0.119 0.119
23 Pd 0.666 0.666 0.002
24 Pd 0.666 0.002 0.666
25 Pd 0.002 0.666 0.666
26 Pd 0.666 0.666 0.666
27 Pd 0.334 0.334 0.998
28 Pd 0.334 0.998 0.334
29 Pd 0.998 0.334 0.334
30 Pd 0.334 0.334 0.334

Density functional theory data (PBE) for a geometry-optimized SrDyAlS4 structure.

**Density of states at the Fermi level**: 0.00 states/eV/f.u.
**SG**: No. 11
**Spin magnetization**: 0.0 μB per cell
**Raw total energy**: -77.41 eV/cell

Cell: 6.528 6.670 8.048 Å, 90.00 107.07 90.00°
Sites, in units of the cell vectors:
1 Sr 0.749 0.750 0.939
2 Sr 0.251 0.250 0.061
3 Dy 0.781 0.750 0.448
4 Dy 0.219 0.250 0.552
5 Al 0.243 0.750 0.321
6 Al 0.757 0.250 0.679
7 S 0.998 0.503 0.728
8 S 0.002 0.003 0.272
9 S 0.002 0.497 0.272
10 S 0.998 0.997 0.728
11 S 0.443 0.750 0.141
12 S 0.557 0.250 0.859
13 S 0.450 0.750 0.593
14 S 0.550 0.250 0.407

Density functional theory data (PBE) for a geometry-optimized CeBe2BOs2 structure.

**Formation energy**: -0.301 eV per atom
**Density of states at the Fermi level**: 4.50 states/eV/f.u.
**SG**: No. 123
**Spin magnetization**: 0.0 μB per cell
**Raw total energy**: -44.33 eV/cell

Cell: 4.114 4.114 5.165 Å, 90.00 90.00 90.00°
Sites, in units of the cell vectors:
1 Ce 0.000 0.000 0.500
2 Be 0.500 0.500 0.758
3 Be 0.500 0.500 0.242
4 B 0.000 0.000 0.000
5 Os 0.500 0.000 0.000
6 Os 0.000 0.500 0.000